(1)
Here is an optimized crystal structure of Zr2VInC from Alexandria via LeMat-Bulk. Energies are from GGA-PBE.

Computed properties:
- calculated volume (Å³/atom) = 17.30
- calculated density (g cm⁻³) = 6.9
- energy of formation (meV per atom) = -416.0
- crystal system = tetragonal

Structure (CIF):
```
data_Zr2VInC
_cell_length_a 4.6473
_cell_length_b 4.6473
_cell_length_c 4.0062
_cell_angle_alpha 90.00
_cell_angle_beta 90.00
_cell_angle_gamma 90.00
_space_group_name_H-M_alt 'P 4/m m m'
_space_group_IT_number 123
_space_group_name_Hall '-P 4 2'
loop_
_atom_site_label
_atom_site_type_symbol
_atom_site_fract_x
_atom_site_fract_y
_atom_site_fract_z
Zr1 Zr 0.0000 0.5000 0.0000
V1 V 0.0000 0.0000 0.5000
In1 In 0.5000 0.5000 0.5000
C1 C 0.0000 0.0000 0.0000
```

---

(2)
Here is an optimized crystal structure of Th2SiCl from Alexandria via LeMat-Bulk. Energies are from GGA-PBE.

Computed properties:
- formation energy without anion corrections (eV per atom) = -0.787
- calculated volume (Å³/atom) = 31.27
- calculated density (g cm⁻³) = 7.0
- crystal system = trigonal

Structure (CIF):
```
data_Th2SiCl
_cell_length_a 3.9779
_cell_length_b 3.9779
_cell_length_c 27.3868
_cell_angle_alpha 90.00
_cell_angle_beta 90.00
_cell_angle_gamma 120.00
_space_group_name_H-M_alt 'R -3 m'
_space_group_IT_number 166
_space_group_name_Hall '-R 3 2"'
loop_
_atom_site_label
_atom_site_type_symbol
_atom_site_fract_x
_atom_site_fract_y
_atom_site_fract_z
Th1 Th 0.0000 0.0000 0.1028
Si1 Si 0.0000 0.0000 0.5000
Cl1 Cl 0.0000 0.0000 0.0000
```

---

(3)
Here is an optimized crystal structure of SmHgP from Alexandria via LeMat-Bulk. Energies are from GGA-PBE.

Computed properties:
- calculated volume (Å³/atom) = 29.00
- calculated density (g cm⁻³) = 7.3
- energy of formation (meV per atom) = -693.0
- crystal system = trigonal

Structure (CIF):
```
data_SmHgP
_cell_length_a 4.8245
_cell_length_b 4.8245
_cell_length_c 25.8969
_cell_angle_alpha 90.00
_cell_angle_beta 90.00
_cell_angle_gamma 120.00
_space_group_name_H-M_alt 'R -3 m'
_space_group_IT_number 166
_space_group_name_Hall '-R 3 2"'
loop_
_atom_site_label
_atom_site_type_symbol
_atom_site_fract_x
_atom_site_fract_y
_atom_site_fract_z
Sm1 Sm 0.0000 0.0000 0.1082
Hg1 Hg 0.0000 0.0000 0.3202
P1 P 0.0000 0.0000 0.2152
```

---

(4)
Here is an optimized crystal structure of TlCuSN2 from Alexandria via LeMat-Bulk. Energies are from GGA-PBE.

Computed properties:
- formation energy without anion corrections (eV per atom) = 1.348
- calculated volume (Å³/atom) = 15.75
- calculated density (g cm⁻³) = 6.9
- distance to the lowest polymorph of the same formula (meV/atom) = 0
- crystal system = tetragonal

Structure (CIF):
```
data_TlCuSN2
_cell_length_a 3.9189
_cell_length_b 3.9189
_cell_length_c 5.1275
_cell_angle_alpha 90.00
_cell_angle_beta 90.00
_cell_angle_gamma 90.00
_space_group_name_H-M_alt 'P 4/m m m'
_space_group_IT_number 123
_space_group_name_Hall '-P 4 2'
loop_
_atom_site_label
_atom_site_type_symbol
_atom_site_fract_x
_atom_site_fract_y
_atom_site_fract_z
Tl1 Tl 0.0000 0.0000 0.0000
Cu1 Cu 0.5000 0.5000 0.5000
S1 S 0.5000 0.5000 0.0000
N1 N 0.0000 0.5000 0.5000
```

---

(5)
Here is an optimized crystal structure of MnNiBi3 from Alexandria via LeMat-Bulk. Energies are from GGA-PBE.

Computed properties:
- calculated volume (Å³/atom) = 27.06
- calculated density (g cm⁻³) = 9.1
- energy of formation (meV per atom) = 795.7
- distance to the lowest polymorph of the same formula (meV/atom) = 227
- crystal system = cubic

Structure (CIF):
```
data_MnNiBi3
_cell_length_a 5.1340
_cell_length_b 5.1340
_cell_length_c 5.1340
_cell_angle_alpha 90.00
_cell_angle_beta 90.00
_cell_angle_gamma 90.00
_space_group_name_H-M_alt 'P m -3 m'
_space_group_IT_number 221
_space_group_name_Hall '-P 4 2 3'
loop_
_atom_site_label
_atom_site_type_symbol
_atom_site_fract_x
_atom_site_fract_y
_atom_site_fract_z
Mn1 Mn 0.0000 0.0000 0.0000
Ni1 Ni 0.5000 0.5000 0.5000
Bi1 Bi 0.0000 0.0000 0.5000
```

---

(6)
Here is an optimized crystal structure of Np3Ni8Pt from Alexandria via LeMat-Bulk. Energies are from GGA-PBE.

Computed properties:
- calculated volume (Å³/atom) = 14.17
- calculated density (g cm⁻³) = 13.4
- energy of formation (meV per atom) = -214.9
- crystal system = trigonal

Structure (CIF):
```
data_Np3Ni8Pt
_cell_length_a 4.9288
_cell_length_b 4.9288
_cell_length_c 24.2546
_cell_angle_alpha 90.00
_cell_angle_beta 90.00
_cell_angle_gamma 120.00
_space_group_name_H-M_alt 'R 3 m'
_space_group_IT_number 160
_space_group_name_Hall 'R 3 -2"'
loop_
_atom_site_label
_atom_site_type_symbol
_atom_site_fract_x
_atom_site_fract_y
_atom_site_fract_z
Np1 Np 0.0000 0.0000 0.0000
Np2 Np 0.0000 0.0000 0.1259
Np3 Np 0.0000 0.0000 0.5062
Ni1 Ni 0.0000 0.0000 0.3150
Ni2 Ni 0.0000 0.0000 0.8150
Ni3 Ni 0.9997 0.4998 0.5658
Ni4 Ni 0.1674 0.3349 0.3972
Pt1 Pt 0.0000 0.0000 0.6291
```

---

(7)
Here is an optimized crystal structure of AlCo4Ni from Alexandria via LeMat-Bulk. Energies are from GGA-PBE.

Computed properties:
- calculated volume (Å³/atom) = 11.91
- calculated density (g cm⁻³) = 7.5
- energy of formation (meV per atom) = 21.9
- crystal system = cubic

Structure (CIF):
```
data_AlCo4Ni
_cell_length_a 6.5876
_cell_length_b 6.5876
_cell_length_c 6.5876
_cell_angle_alpha 90.00
_cell_angle_beta 90.00
_cell_angle_gamma 90.00
_space_group_name_H-M_alt 'F -4 3 m'
_space_group_IT_number 216
_space_group_name_Hall 'F -4 2 3'
loop_
_atom_site_label
_atom_site_type_symbol
_atom_site_fract_x
_atom_site_fract_y
_atom_site_fract_z
Al1 Al 0.0000 0.0000 0.0000
Co1 Co 0.1248 0.1248 0.6248
Ni1 Ni 0.2500 0.2500 0.2500
```

---

(8)
Here is an optimized crystal structure of BaAgRh4 from Alexandria via LeMat-Bulk. Energies are from GGA-PBE.

Computed properties:
- calculated volume (Å³/atom) = 18.92
- calculated density (g cm⁻³) = 9.6
- energy of formation (meV per atom) = 229.5
- crystal system = cubic

Structure (CIF):
```
data_BaAgRh4
_cell_length_a 7.6868
_cell_length_b 7.6868
_cell_length_c 7.6868
_cell_angle_alpha 90.00
_cell_angle_beta 90.00
_cell_angle_gamma 90.00
_space_group_name_H-M_alt 'F -4 3 m'
_space_group_IT_number 216
_space_group_name_Hall 'F -4 2 3'
loop_
_atom_site_label
_atom_site_type_symbol
_atom_site_fract_x
_atom_site_fract_y
_atom_site_fract_z
Ba1 Ba 0.0000 0.0000 0.0000
Ag1 Ag 0.2500 0.2500 0.2500
Rh1 Rh 0.1241 0.1241 0.6241
```

---

(9)
Here is an optimized crystal structure of ZrP2PdO from Alexandria via LeMat-Bulk. Energies are from GGA-PBE.

Computed properties:
- formation energy without anion corrections (eV per atom) = -0.178
- calculated volume (Å³/atom) = 20.90
- calculated density (g cm⁻³) = 4.4
- distance to the lowest polymorph of the same formula (meV/atom) = 0
- crystal system = tetragonal

Structure (CIF):
```
data_ZrP2PdO
_cell_length_a 5.1572
_cell_length_b 5.1572
_cell_length_c 3.9294
_cell_angle_alpha 90.00
_cell_angle_beta 90.00
_cell_angle_gamma 90.00
_space_group_name_H-M_alt 'P 4/m m m'
_space_group_IT_number 123
_space_group_name_Hall '-P 4 2'
loop_
_atom_site_label
_atom_site_type_symbol
_atom_site_fract_x
_atom_site_fract_y
_atom_site_fract_z
Zr1 Zr 0.0000 0.0000 0.0000
P1 P 0.0000 0.5000 0.0000
Pd1 Pd 0.5000 0.5000 0.5000
O1 O 0.0000 0.0000 0.5000
```

---

(10)
Here is an optimized crystal structure of CaSi2Se from Alexandria via LeMat-Bulk. Energies are from GGA-PBE.

Computed properties:
- formation energy without anion corrections (eV per atom) = -0.170
- calculated volume (Å³/atom) = 21.04
- calculated density (g cm⁻³) = 3.5
- crystal system = orthorhombic

Structure (CIF):
```
data_CaSi2Se
_cell_length_a 3.4820
_cell_length_b 5.4781
_cell_length_c 8.8222
_cell_angle_alpha 90.00
_cell_angle_beta 90.00
_cell_angle_gamma 90.00
_space_group_name_H-M_alt 'I m m 2'
_space_group_IT_number 44
_space_group_name_Hall 'I 2 -2'
loop_
_atom_site_label
_atom_site_type_symbol
_atom_site_fract_x
_atom_site_fract_y
_atom_site_fract_z
Ca1 Ca 0.0000 0.0000 0.0000
Si1 Si 0.0000 0.0000 0.4815
Si2 Si 0.0000 0.5000 0.7903
Se1 Se 0.0000 0.5000 0.1952
```

---

(11)
Here is an optimized crystal structure of Pm12Sm7Sc from Alexandria via LeMat-Bulk. Energies are from GGA-PBE.

Computed properties:
- calculated volume (Å³/atom) = 33.99
- calculated density (g cm⁻³) = 6.9
- energy of formation (meV per atom) = 66.4
- distance to the lowest polymorph of the same formula (meV/atom) = 0
- crystal system = triclinic

Structure (CIF):
```
data_Pm12Sm7Sc
_cell_length_a 6.9181
_cell_length_b 9.4166
_cell_length_c 11.6407
_cell_angle_alpha 109.82
_cell_angle_beta 104.91
_cell_angle_gamma 93.66
_space_group_name_H-M_alt 'P -1'
_space_group_IT_number 2
_space_group_name_Hall '-P 1'
loop_
_atom_site_label
_atom_site_type_symbol
_atom_site_fract_x
_atom_site_fract_y
_atom_site_fract_z
Pm1 Pm 0.0649 0.0302 0.3830
Pm2 Pm 0.2082 0.8445 0.1031
Pm3 Pm 0.2506 0.4512 0.0011
Pm4 Pm 0.2955 0.0585 0.9080
Pm5 Pm 0.3673 0.2755 0.6851
Pm6 Pm 0.4172 0.8748 0.5948
Sm1 Sm 0.0000 0.5000 0.5000
Sm2 Sm 0.1187 0.6234 0.2840
Sm3 Sm 0.1518 0.2417 0.2111
Sm4 Sm 0.3540 0.6655 0.8059
Sc1 Sc 0.5000 0.5000 0.5000
```

---

(12)
Here is an optimized crystal structure of CoNi4Ru from Alexandria via LeMat-Bulk. Energies are from GGA-PBE.

Computed properties:
- calculated volume (Å³/atom) = 11.79
- calculated density (g cm⁻³) = 9.3
- energy of formation (meV per atom) = 200.2
- distance to the lowest polymorph of the same formula (meV/atom) = 132
- crystal system = cubic

Structure (CIF):
```
data_CoNi4Ru
_cell_length_a 6.5648
_cell_length_b 6.5648
_cell_length_c 6.5648
_cell_angle_alpha 90.00
_cell_angle_beta 90.00
_cell_angle_gamma 90.00
_space_group_name_H-M_alt 'F -4 3 m'
_space_group_IT_number 216
_space_group_name_Hall 'F -4 2 3'
loop_
_atom_site_label
_atom_site_type_symbol
_atom_site_fract_x
_atom_site_fract_y
_atom_site_fract_z
Co1 Co 0.0000 0.0000 0.0000
Ni1 Ni 0.1253 0.1253 0.6253
Ru1 Ru 0.2500 0.2500 0.2500
```

---

Copy entry 4 word for word.
Here is an optimized crystal structure of TlCuSN2 from Alexandria via LeMat-Bulk. Energies are from GGA-PBE.

Computed properties:
- formation energy without anion corrections (eV per atom) = 1.348
- calculated volume (Å³/atom) = 15.75
- calculated density (g cm⁻³) = 6.9
- distance to the lowest polymorph of the same formula (meV/atom) = 0
- crystal system = tetragonal

Structure (CIF):
```
data_TlCuSN2
_cell_length_a 3.9189
_cell_length_b 3.9189
_cell_length_c 5.1275
_cell_angle_alpha 90.00
_cell_angle_beta 90.00
_cell_angle_gamma 90.00
_space_group_name_H-M_alt 'P 4/m m m'
_space_group_IT_number 123
_space_group_name_Hall '-P 4 2'
loop_
_atom_site_label
_atom_site_type_symbol
_atom_site_fract_x
_atom_site_fract_y
_atom_site_fract_z
Tl1 Tl 0.0000 0.0000 0.0000
Cu1 Cu 0.5000 0.5000 0.5000
S1 S 0.5000 0.5000 0.0000
N1 N 0.0000 0.5000 0.5000
```